{
  "formula": "InHgSb2",
  "functional": "PBE-GGA",
  "state": "optimized geometry",
  "lattice": [[-10.2388, -4.1934, 0.2805], [-8.5437, -6.9981, -0.7277], [-8.7649, -6.2349, 2.6077]],
  "species": ["Sb", "Sb", "In", "Hg"],
  "fractional_positions": [[0.0062, 0.0062, 0.0062], [0.4938, 0.4938, 0.4938], [0.7500, 0.7500, 0.7500], [0.2500, 0.2500, 0.2500]],
  "polymorph_energy_ev_per_fu": 0.412,
  "formation_energy_uncorrected_ev_per_atom": 0.146
}


{
  "formula": "AcTaAg2O6",
  "functional": "PBE-GGA",
  "state": "optimized geometry",
  "lattice": [[5.8202, -0.0408, 0.1136], [2.8747, 4.7729, 0.1756], [2.9958, 1.6989, 5.6709]],
  "species": ["Ac", "O", "O", "O", "O", "O", "O", "Ag", "Ag", "Ta"],
  "fractional_positions": [[0.8115, 0.8023, 0.5724], [0.9913, 0.5844, 0.2251], [0.0912, 0.3796, 0.8396], [0.6532, 0.1310, 0.7939], [0.3699, 0.7060, 0.8244], [0.6172, 0.1936, 0.2001], [0.2089, 0.9973, 0.2903], [0.5754, 0.5764, 0.2580], [0.0120, 0.9877, 0.9910], [0.3310, 0.3033, 0.0206]],
  "formation_energy_uncorrected_ev_per_atom": -1.826
}


{
  "formula": "Ba6ZnAg3",
  "functional": "PBE-GGA",
  "state": "optimized geometry",
  "lattice": [[-2.3214, -0.3642, 4.1045], [10.3202, -5.6131, 5.3389], [0.3041, 15.3733, 1.5361]],
  "species": ["Ag", "Ag", "Ag", "Ag", "Ag", "Ag", "Zn", "Zn", "Ba", "Ba", "Ba", "Ba", "Ba", "Ba", "Ba", "Ba", "Ba", "Ba", "Ba", "Ba"],
  "fractional_positions": [[0.7500, 0.3378, 0.8499], [0.2500, 0.3052, 0.4659], [0.2500, 0.9290, 0.9754], [0.2500, 0.6622, 0.1501], [0.7500, 0.6948, 0.5341], [0.7500, 0.0710, 0.0246], [0.7500, 0.0798, 0.7249], [0.2500, 0.9202, 0.2751], [0.2500, 0.5628, 0.9026], [0.7500, 0.8430, 0.0976], [0.2500, 0.1622, 0.2005], [0.7500, 0.4793, 0.6089], [0.2500, 0.2434, 0.6774], [0.7500, 0.7566, 0.3226], [0.2500, 0.5207, 0.3911], [0.7500, 0.4372, 0.0974], [0.7500, 0.1015, 0.4204], [0.7500, 0.8378, 0.7995], [0.2500, 0.8985, 0.5796], [0.2500, 0.1570, 0.9024]],
  "e_form_kcal_per_mol_atoms": -3.61
}


{
  "formula": "KHf3Rh",
  "functional": "PBE-GGA",
  "state": "optimized geometry",
  "lattice": [[-3.0037, -0.4830, 4.1346], [3.6212, -2.8177, 2.3016], [2.0529, 4.2635, 1.9895]],
  "species": ["Hf", "Hf", "Hf", "Rh", "K"],
  "fractional_positions": [[0.0000, 0.5000, 0.0000], [0.5000, 0.0000, 0.0000], [0.0000, 0.0000, 0.5000], [0.0000, 0.0000, 0.0000], [0.5000, 0.5000, 0.5000]],
  "polymorph_energy_ev_per_fu": 0.000,
  "e_form_kcal_per_mol_atoms": 11.39
}


{
  "formula": "TlCdF3",
  "functional": "PBE-GGA",
  "state": "optimized geometry",
  "lattice": [[-1.6815, 3.2501, 0.6709], [-3.3166, -1.6195, -0.4672], [-0.2185, -1.5230, 6.8308]],
  "species": ["F", "F", "F", "Tl", "Cd"],
  "fractional_positions": [[0.0000, 0.5000, 0.3990], [0.0000, 0.0000, 0.7263], [0.5000, 0.0000, 0.3990], [0.0000, 0.0000, 0.1535], [0.5000, 0.5000, 0.5859]],
  "formation_energy_uncorrected_ev_per_atom": -1.779
}


{
  "formula": "CaEr3Tc",
  "functional": "PBE-GGA",
  "state": "optimized geometry",
  "lattice": [[-4.6151, 1.8623, -2.0941], [-2.7072, -1.9197, 4.2589], [0.7244, 4.6903, 2.5746]],
  "species": ["Er", "Er", "Er", "Ca", "Tc"],
  "fractional_positions": [[0.5000, 0.0000, 0.0000], [0.0000, 0.0000, 0.5000], [0.0000, 0.5000, 0.0000], [0.5000, 0.5000, 0.5000], [0.0000, 0.0000, 0.0000]],
  "e_form_kcal_per_mol_atoms": 1.09
}


{
  "formula": "Zr2CrOsN",
  "functional": "PBE-GGA",
  "state": "optimized geometry",
  "lattice": [[4.5840, 0.0000, 0.0000], [0.0000, 4.5840, 0.0000], [0.0000, 0.0000, 3.6126]],
  "species": ["Cr", "N", "Zr", "Zr", "Os"],
  "fractional_positions": [[0.0000, 0.0000, 0.5000], [0.0000, 0.0000, 0.0000], [0.5000, 0.0000, 0.0000], [0.0000, 0.5000, 0.0000], [0.5000, 0.5000, 0.5000]],
  "formation_energy_uncorrected_ev_per_atom": -0.668
}


{
  "formula": "AcTeAs2O8",
  "functional": "PBE-GGA",
  "state": "optimized geometry",
  "lattice": [[-1.8432, 1.5096, -4.9442], [1.8773, -3.2399, -4.7353], [-4.1585, -4.9156, -2.9967]],
  "species": ["As", "As", "O", "O", "O", "O", "O", "O", "O", "O", "Ac", "Te"],
  "fractional_positions": [[0.2917, 0.2387, 0.1779], [0.7083, 0.7613, 0.8221], [0.1220, 0.4182, 0.3377], [0.8602, 0.0064, 0.7459], [0.1398, 0.9936, 0.2541], [0.3875, 0.0064, 0.7459], [0.8780, 0.5818, 0.6623], [0.6125, 0.9936, 0.2541], [0.6673, 0.5621, 0.1033], [0.3327, 0.4380, 0.8967], [0.5000, 0.5000, 0.5000], [0.0000, 0.0000, 0.0000]],
  "formation_energy_uncorrected_ev_per_atom": -1.579
}


Number 1: final energy -2.675 eV/atom. Number 2: final energy -6.967 eV/atom. Number 3: final energy -2.293 eV/atom. Number 4: final energy -7.168 eV/atom. Number 5: final energy -3.558 eV/atom. Number 6: final energy -5.164 eV/atom. Number 7: final energy -9.923 eV/atom. Number 8: final energy -6.264 eV/atom.